## BeRe3 (PBE-GGA)

Data for an optimized crystal structure of BeRe3.

Cell and atoms, written as POSCAR:
```
BeRe3
1.0
4.245 2.451 0.896
-4.245 2.451 0.896
0.000 -4.902 0.896
Be Re
1 3
Cartesian
0.000 0.000 0.000
-2.123 -1.225 0.896
-2.123 1.225 1.793
0.000 2.451 0.896
```

Properties
VASP energy, eV per atom: -10.029
SG: No. 166
Energy relative to the lowest polymorph listed for this composition, eV per atom: 0.301
M_tot, μB per formula unit: 0.000
ΔE_f, eV/atom: 0.24